# 1
! TbTm2Pb, optimized geometry, DFT PBE; values from VASP
! * spin magnetization: 0.00 μB/f.u.
! * formation enthalpy at 0 K: -0.229 eV per atom
! * polymorph energy (0 for the lowest one): 63 meV per atom
&SYSTEM
  ibrav = 0, nat = 8, ntyp = 3
/
ATOMIC_SPECIES
Tm 168.93 Tm.upf
Pb 207.20 Pb.upf
Tb 158.93 Tb.upf
CELL_PARAMETERS angstrom
4.2519 0.0006 0.0000
-2.1255 6.2298 0.0000
0.0000 0.0000 9.2643
ATOMIC_POSITIONS crystal
Tm 0.3686 0.7372 0.9454
Pb 0.7530 0.5061 0.7500
Pb 0.2470 0.4939 0.2500
Tm 0.6314 0.2628 0.4454
Tm 0.6314 0.2628 0.0546
Tb 0.0552 0.1103 0.7500
Tm 0.3686 0.7372 0.5546
Tb 0.9448 0.8897 0.2500


# 2
! YTa3O9, optimized geometry, DFT PBE; values from VASP
! * spin magnetization: 0.00 μB/f.u.
! * polymorph energy (0 for the lowest one): 27 meV per atom
! * formation energy (no corrections): -3004 meV/atom
&SYSTEM
  ibrav = 0, nat = 26, ntyp = 3
/
ATOMIC_SPECIES
O 16.00 O.upf
Ta 180.95 Ta.upf
Y 88.91 Y.upf
CELL_PARAMETERS angstrom
5.4675 0.0222 -0.0037
2.7630 8.4031 0.0206
2.7390 2.8381 7.9253
ATOMIC_POSITIONS crystal
O 0.6821 0.1724 0.5004
O 0.7596 0.7487 0.2205
O 0.2851 0.7350 0.2412
O 0.2888 0.8377 0.4947
O 0.8960 0.4514 0.1892
O 0.4938 0.9832 0.9999
Ta 0.5883 0.0943 0.7467
O 0.4390 0.9060 0.7456
Ta 0.0810 0.5858 0.2648
O 0.0026 0.5055 0.5054
O 0.3770 0.3808 0.2599
Ta 0.7406 0.2440 0.2596
O 0.1261 0.1290 0.2100
O 0.8995 0.8915 0.7876
Ta 0.4174 0.9263 0.2499
Ta 0.9090 0.4150 0.7496
Ta 0.2529 0.7641 0.7325
O 0.8010 0.2248 0.7533
O 0.2564 0.6429 0.9996
O 0.5488 0.5588 0.7403
Y 0.6505 0.6976 0.0016
O 0.7449 0.3374 0.0020
O 0.2697 0.2695 0.7846
O 0.0221 0.5747 0.8154
O 0.6310 0.0547 0.2588
Y 0.3070 0.3711 0.0011